[1]
# AlS6Cl PBE optimized geometry
# M_tot ... 0.0 μB/cell
# DFT total energy ... -31.45 eV per cell
data_AlS6Cl
_space_group_name_H-M_alt 'P -1'
_space_group_IT_number 2
_cell_length_a 3.684
_cell_length_b 4.768
_cell_length_c 10.107
_cell_angle_alpha 77.39
_cell_angle_beta 89.99
_cell_angle_gamma 89.58
loop_
_space_group_symop_operation_xyz
'x,y,z'
'-x,-y,-z'
loop_
_atom_site_label
_atom_site_fract_x
_atom_site_fract_y
_atom_site_fract_z
_atom_site_occupancy
Al1 0.000 0.000 0.000 1
S1 0.030 0.903 0.774 1
S2 0.342 0.850 0.337 1
S3 0.492 0.358 0.933 1
Cl1 0.000 0.500 0.500 1



[2]
# Cs7K2Au2 PBE optimized geometry
# M_tot ... 0.0 μB/cell
# DFT total energy ... -31.99 eV per cell
# ΔE_f ... -0.12 eV per atom
data_Cs7K2Au2
_space_group_name_H-M_alt 'I m m 2'
_space_group_IT_number 44
_cell_length_a 5.003
_cell_length_b 24.493
_cell_length_c 13.745
_cell_angle_alpha 90.00
_cell_angle_beta 90.00
_cell_angle_gamma 90.00
loop_
_space_group_symop_operation_xyz
'x,y,z'
'-x,-y,z'
'-x,y,z'
'x,-y,z'
'x+1/2,y+1/2,z+1/2'
'-x+1/2,-y+1/2,z+1/2'
'-x+1/2,y+1/2,z+1/2'
'x+1/2,-y+1/2,z+1/2'
loop_
_atom_site_label
_atom_site_fract_x
_atom_site_fract_y
_atom_site_fract_z
_atom_site_occupancy
Cs1 0.000 0.000 0.000 1
Cs2 0.000 0.164 0.552 1
Cs3 0.000 0.321 0.372 1
Cs4 0.000 0.341 0.709 1
K1 0.000 0.000 0.366 1
K2 0.000 0.500 0.175 1
Au1 0.000 0.227 0.052 1



no.,Fermi-level density of states (states/eV per cell)
1,3.223
2,18.772